The following is a DFT calculation (PBE-GGA) of a relaxed Cs6KHg6 crystal.

Output
As for the final energy: -0.769 eV per atom. The formation energy is -0.15 eV/atom. For the density of states at the Fermi level, the calculation gives 9.99 states/eV/f.u. The space group is No. 191.

```
Cs6KHg6
1.0
7.8364 -0.1685 0.0000
-3.7751 6.8692 0.0000
0.0000 0.0000 12.9645
Cs K Hg
6 1 6
Direct
0.0000 0.0000 0.3126 Cs
0.0000 0.0000 0.6874 Cs
0.6668 0.3332 0.0000 Cs
0.3332 0.6668 0.0000 Cs
0.6664 0.3336 0.5000 Cs
0.3336 0.6664 0.5000 Cs
0.0000 0.0000 0.0000 K
0.5000 0.0000 0.2471 Hg
0.0000 0.5000 0.2471 Hg
0.5000 0.5000 0.2468 Hg
0.0000 0.5000 0.7529 Hg
0.5000 0.0000 0.7529 Hg
0.5000 0.5000 0.7532 Hg
```